[1]
Computed, not measured: an optimized crystal structure of PuIn2Cu9 at the GGA-PBE level of DFT.

abc: 8.6731 8.6731 8.6731
angles: 33.96 33.96 33.96
With the nearest neighbours (Å) after each atom.
Atoms (fractional coordinates):
1 Pu 0.0000 0.0000 0.0000  18 Cu 2.93-3.26
2 In 0.1400 0.1400 0.1400  12 Cu 2.88-3.05, 3 In 3.20
3 In 0.8600 0.8600 0.8600  12 Cu 2.88-3.05, 3 In 3.20
4 Cu 0.0810 0.5854 0.5854  7 Cu 2.51-2.56
5 Cu 0.3334 0.3334 0.3334  6 Cu 2.52-2.53
6 Cu 0.4146 0.4146 0.9190  7 Cu 2.51-2.56
7 Cu 0.4146 0.9190 0.4146  7 Cu 2.51-2.56
8 Cu 0.5000 0.5000 0.5000  6 Cu 2.51
9 Cu 0.5854 0.0810 0.5854  7 Cu 2.51-2.56
10 Cu 0.5854 0.5854 0.0810  7 Cu 2.51-2.56
11 Cu 0.6666 0.6666 0.6666  6 Cu 2.52-2.53
12 Cu 0.9190 0.4146 0.4146  7 Cu 2.51-2.56

Properties
Electronic total energy in eV per atom: -4.775
Size of the total moment in μB/f.u.: 5.691
Fermi-level density of states in states/eV per atom: 1.36
Volume in Å³ per atom: 15.125
Calculated formation energy in kJ/mol of atoms: -5

=====

[2]
Computed, not measured: an optimized crystal structure of Pu2In8Cu at the GGA-PBE level of DFT.

abc: 4.7108 4.7108 12.1617
angles: 90.00 90.00 90.00
With the nearest neighbours (Å) after each atom.
Atoms (fractional coordinates):
1 Pu 0.0000 0.0000 0.1911  12 In 3.25-3.33
2 Pu 0.0000 0.0000 0.8089  12 In 3.25-3.33
3 In 0.0000 0.5000 0.0000  4 Pu 3.31, 8 In 3.31-3.33
4 In 0.0000 0.5000 0.3748  2 Cu 2.80, 1 In 3.05
5 In 0.0000 0.5000 0.6252  2 Cu 2.80, 1 In 3.05
6 In 0.5000 0.0000 0.0000  4 Pu 3.31, 8 In 3.31-3.33
7 In 0.5000 0.0000 0.3748  2 Cu 2.80, 1 In 3.05
8 In 0.5000 0.0000 0.6252  2 Cu 2.80, 1 In 3.05
9 In 0.5000 0.5000 0.1912  8 In 3.25-3.31, 4 Pu 3.33
10 In 0.5000 0.5000 0.8088  8 In 3.25-3.31, 4 Pu 3.33
11 Cu 0.0000 0.0000 0.5000  8 In 2.80

Properties
Electronic total energy in eV per atom: -5.134
Size of the total moment in μB/f.u.: 11.408
Fermi-level density of states in states/eV per atom: 2.35
Volume in Å³ per atom: 24.535
Calculated formation energy in kJ/mol of atoms: -16

=====

[3]
Computed, not measured: an optimized crystal structure of Pu2InCu at the GGA-PBE level of DFT.

abc: 3.2049 3.2049 33.4075
angles: 90.00 90.00 120.00
With the nearest neighbours (Å) after each atom.
Atoms (fractional coordinates):
1 Pu 0.0000 0.0000 0.0978  3 Cu 2.95, 6 Pu 3.20, 1 In 3.27
2 Pu 0.0000 0.0000 0.9022  3 Cu 2.95, 6 Pu 3.20, 1 In 3.27
3 Pu 0.3333 0.6667 0.5689  3 Cu 2.95, 6 Pu 3.20, 1 In 3.27
4 Pu 0.3333 0.6667 0.7645  3 Cu 2.95, 6 Pu 3.20, 1 In 3.27
5 Pu 0.6667 0.3333 0.2355  3 Cu 2.95, 6 Pu 3.20, 1 In 3.27
6 Pu 0.6667 0.3333 0.4311  3 Cu 2.95, 6 Pu 3.20, 1 In 3.27
7 In 0.0000 0.0000 0.0000  6 In 3.20, 2 Pu 3.27
8 In 0.3333 0.6667 0.6667  6 In 3.20, 2 Pu 3.27
9 In 0.6667 0.3333 0.3333  6 In 3.20, 2 Pu 3.27
10 Cu 0.0000 0.0000 0.5000  6 Pu 2.95, 6 Cu 3.20
11 Cu 0.3333 0.6667 0.1667  6 Pu 2.95, 6 Cu 3.20
12 Cu 0.6667 0.3333 0.8333  6 Pu 2.95, 6 Cu 3.20

Properties
Electronic total energy in eV per atom: -8.530
Size of the total moment in μB/f.u.: 11.723
Fermi-level density of states in states/eV per atom: 3.66
Volume in Å³ per atom: 24.765
Calculated formation energy in kJ/mol of atoms: 33

=====

[4]
Computed, not measured: an optimized crystal structure of Pu2InCu2 at the GGA-PBE level of DFT.

abc: 4.3898 5.7288 8.6030
angles: 90.00 90.00 90.00
With the nearest neighbours (Å) after each atom.
Atoms (fractional coordinates):
1 Pu 0.0000 0.0000 0.2004  6 Cu 3.05, 4 In 3.34-3.39
2 Pu 0.0000 0.0000 0.7996  6 Cu 3.05, 4 In 3.34-3.39
3 Pu 0.5000 0.5000 0.2996  6 Cu 3.05, 4 In 3.34-3.39
4 Pu 0.5000 0.5000 0.7004  6 Cu 3.05, 4 In 3.34-3.39
5 In 0.0000 0.5000 0.0000  4 Cu 2.74
6 In 0.5000 0.0000 0.5000  4 Cu 2.74
7 Cu 0.0000 0.2852 0.5000  1 Cu 2.46, 2 In 2.74
8 Cu 0.0000 0.7148 0.5000  1 Cu 2.46, 2 In 2.74
9 Cu 0.5000 0.2148 0.0000  1 Cu 2.46, 2 In 2.74
10 Cu 0.5000 0.7852 0.0000  1 Cu 2.46, 2 In 2.74

Properties
Electronic total energy in eV per atom: -7.959
Size of the total moment in μB/f.u.: 11.591
Fermi-level density of states in states/eV per atom: 3.58
Volume in Å³ per atom: 21.635
Calculated formation energy in kJ/mol of atoms: -4

=====

[5]
Computed, not measured: an optimized crystal structure of Pu2InCu at the GGA-PBE level of DFT.

abc: 3.9348 3.9348 6.0435
angles: 90.00 90.00 90.00
With the nearest neighbours (Å) after each atom.
Atoms (fractional coordinates):
1 Pu 0.0000 0.0000 0.2346  1 Pu 2.84, 4 Cu 3.12
2 Pu 0.0000 0.0000 0.7654  1 Pu 2.84, 4 Cu 3.12
3 In 0.5000 0.5000 0.5000  2 Cu 3.02, 8 Pu 3.21
4 Cu 0.5000 0.5000 0.0000  2 In 3.02, 8 Pu 3.12

Properties
Electronic total energy in eV per atom: -8.842
Size of the total moment in μB/f.u.: 11.804
Fermi-level density of states in states/eV per atom: 3.07
Volume in Å³ per atom: 23.392
Calculated formation energy in kJ/mol of atoms: 3

=====

[6]
Computed, not measured: an optimized crystal structure of PuInCuRu at the GGA-PBE level of DFT.

abc: 6.6911 6.6911 6.6911
angles: 90.00 90.00 90.00
With the nearest neighbours (Å) after each atom.
Atoms (fractional coordinates):
1 Pu 0.0000 0.0000 0.0000  4 Ru 2.90, 4 Cu 2.90
2 Pu 0.0000 0.5000 0.5000  4 Ru 2.90, 4 Cu 2.90
3 Pu 0.5000 0.0000 0.5000  4 Ru 2.90, 4 Cu 2.90
4 Pu 0.5000 0.5000 0.0000  4 Ru 2.90, 4 Cu 2.90
5 In 0.0000 0.0000 0.5000  4 Cu 2.90, 4 Ru 2.90
6 In 0.0000 0.5000 0.0000  4 Cu 2.90, 4 Ru 2.90
7 In 0.5000 0.0000 0.0000  4 Cu 2.90, 4 Ru 2.90
8 In 0.5000 0.5000 0.5000  4 Ru 2.90, 4 Cu 2.90
9 Cu 0.2500 0.2500 0.7500  4 In 2.90, 4 Pu 2.90
10 Cu 0.2500 0.7500 0.2500  4 In 2.90, 4 Pu 2.90
11 Cu 0.7500 0.2500 0.2500  4 In 2.90, 4 Pu 2.90
12 Cu 0.7500 0.7500 0.7500  4 Pu 2.90, 4 In 2.90
13 Ru 0.2500 0.2500 0.2500  4 In 2.90, 4 Pu 2.90
14 Ru 0.2500 0.7500 0.7500  4 In 2.90, 4 Pu 2.90
15 Ru 0.7500 0.2500 0.7500  4 In 2.90, 4 Pu 2.90
16 Ru 0.7500 0.7500 0.2500  4 In 2.90, 4 Pu 2.90

Properties
Electronic total energy in eV per atom: -7.584
Size of the total moment in μB/f.u.: 4.801
Fermi-level density of states in states/eV per atom: 2.54
Volume in Å³ per atom: 18.723
Calculated formation energy in kJ/mol of atoms: 3